BiBPt2 | GGA-PBE | optimized geometry

The space group is Fm-3m (No. 225) and the conventional cell measures 6.4874, 6.4874 and 6.4874 Å, with angles of 90.00, 90.00 and 90.00 degrees. The distinct sites, in fractional coordinates, are Bi at (0.0000, 0.0000, 0.0000), B at (0.0000, 0.0000, 0.5000) and Pt at (0.2500, 0.2500, 0.2500).

As for the volume: 17.06 Å³/atom. As for the total DFT energy (no corrections): -4.86 eV/atom. As for the energy above the most stable polymorph in this dataset: 897.1 meV/atom. For the formation energy, the calculation gives 0.80 eV per atom.